Here is a geometry-optimized EuScGePd structure from Alexandria via LeMat-Bulk. Energies are from PBE.

Unit cell a=4.9506 b=4.9506 c=4.9506 alpha=60.00 beta=60.00 gamma=60.00
Closest atoms and distances in Å follow each position.
Element x y z (fractional)
Ge (0.5000, 0.5000, 0.5000)  4 Eu 3.03, 4 Sc 3.03
Pd (0.0000, 0.0000, 0.0000)  4 Sc 3.03, 4 Eu 3.03
Sc (0.7500, 0.7500, 0.7500)  4 Ge 3.03, 4 Pd 3.03
Eu (0.2500, 0.2500, 0.2500)  4 Pd 3.03, 4 Ge 3.03

Output
* space-group type: No. 216
* formation energy: -0.63 eV per atom

---

Here is a geometry-optimized TlHgBiPb3 structure from Alexandria via LeMat-Bulk. Energies are from PBE.

Unit cell a=4.3830 b=8.4531 c=11.1973 alpha=116.25 beta=90.00 gamma=90.00
Closest atoms and distances in Å follow each position.
Element x y z (fractional)
Bi (0.7500, 0.8585, 0.7179)  8 Pb 3.36-3.73, 2 Tl 3.55
Bi (0.2500, 0.1415, 0.2821)  8 Pb 3.36-3.73, 2 Tl 3.55
Pb (0.2500, 0.6132, 0.7916)  2 Bi 3.36, 3 Hg 3.39-3.62, 5 Pb 3.50-3.69, 1 Tl 3.71
Pb (0.2500, 0.1245, 0.9538)  3 Bi 3.40-3.62, 3 Hg 3.41-3.76, 4 Pb 3.50, 1 Tl 3.59
Pb (0.7500, 0.3868, 0.2084)  2 Bi 3.36, 3 Hg 3.39-3.62, 5 Pb 3.50-3.69, 1 Tl 3.71
Pb (0.7500, 0.3677, 0.5313)  3 Bi 3.39-3.73, 5 Pb 3.42-3.69, 3 Tl 3.52-3.73
Pb (0.2500, 0.6323, 0.4687)  3 Bi 3.39-3.73, 5 Pb 3.42-3.69, 3 Tl 3.52-3.73
Pb (0.7500, 0.8755, 0.0462)  3 Bi 3.40-3.62, 3 Hg 3.41-3.76, 4 Pb 3.50, 1 Tl 3.59
Hg (0.2500, 0.6200, 0.1172)  2 Hg 3.33, 5 Pb 3.39-3.62, 2 Tl 3.46
Hg (0.7500, 0.3800, 0.8828)  2 Hg 3.33, 5 Pb 3.39-3.62, 2 Tl 3.46
Tl (0.7500, 0.8763, 0.3674)  2 Hg 3.46, 5 Pb 3.52-3.73, 2 Tl 3.54, 2 Bi 3.55
Tl (0.2500, 0.1237, 0.6326)  2 Hg 3.46, 5 Pb 3.52-3.73, 2 Tl 3.54, 2 Bi 3.55

Output
* space-group type: No. 11
* formation energy: 0.00 eV per atom